Record 1
The following is a DFT calculation (meta-GGA SCAN) of a crystal of KCdW2 relaxed with PBEsol.

abc: 3.889 3.889 10.464
angles: 90.00 90.00 90.00
Space group I4/mmm (No. 139)
One atom of each set of equivalent atoms:
K1 0.000 0.000 0.000 (multiplicity 2)
Cd1 0.000 0.000 0.500 (multiplicity 2)
W1 0.000 0.500 0.250 (multiplicity 4)

Results
Energy of formation: 1693 meV per atom

***

Record 2
The following is a DFT calculation (meta-GGA SCAN) of a crystal of TaCd2Os relaxed with PBEsol.

abc: 2.839 4.504 5.395
angles: 90.00 90.00 90.00
Space group Pmmm (No. 47)
One atom of each set of equivalent atoms:
Ta1 0.000 0.000 0.000 (multiplicity 1)
Cd1 0.500 0.500 0.254 (multiplicity 2)
Os1 0.000 0.000 0.500 (multiplicity 1)

Results
Energy relative to the lowest polymorph listed for this composition: 0.415 eV/atom
Energy of formation: 473 meV per atom

***

Record 3
The following is a DFT calculation (meta-GGA SCAN) of a crystal of NbReAs2Os relaxed with PBEsol.

abc: 4.644 4.644 4.773
angles: 90.00 90.00 90.00
Space group P4/mmm (No. 123)
One atom of each set of equivalent atoms:
Nb1 0.000 0.000 0.000 (multiplicity 1)
Re1 0.500 0.500 0.500 (multiplicity 1)
As1 0.000 0.500 0.500 (multiplicity 2)
Os1 0.500 0.500 0.000 (multiplicity 1)

Results
Energy of formation: 1378 meV per atom

***

Record 4
The following is a DFT calculation (meta-GGA SCAN) of a crystal of TlCuAs relaxed with PBEsol.

abc: 4.0568 4.0568 4.4605
angles: 90.00 90.00 120.00
Space group P-6m2 (No. 187)
One atom of each set of equivalent atoms:
Tl1 0.0000 0.0000 0.0000 (multiplicity 1)
Cu1 0.6667 0.3333 0.5000 (multiplicity 1)
As1 0.3333 0.6667 0.5000 (multiplicity 1)

Results
Energy of formation: 100 meV per atom

***

Record 5
The following is a DFT calculation (meta-GGA SCAN) of a crystal of Rb2LiYI6 relaxed with PBEsol.

abc: 11.730 11.730 11.730
angles: 90.00 90.00 90.00
Space group Fm-3m (No. 225)
One atom of each set of equivalent atoms:
Rb1 0.250 0.250 0.250 (multiplicity 8)
Li1 0.000 0.000 0.000 (multiplicity 4)
Y1 0.000 0.000 0.500 (multiplicity 4)
I1 0.000 0.000 0.247 (multiplicity 24)

Results
Uncorrected formation energy: -1.543 eV/atom

***

Record 6
The following is a DFT calculation (meta-GGA SCAN) of a crystal of NbPdWSe2 relaxed with PBEsol.

abc: 4.753 4.753 4.837
angles: 90.00 90.00 90.00
Space group P4/mmm (No. 123)
One atom of each set of equivalent atoms:
Nb1 0.000 0.000 0.000 (multiplicity 1)
Pd1 0.500 0.500 0.000 (multiplicity 1)
W1 0.500 0.500 0.500 (multiplicity 1)
Se1 0.000 0.500 0.500 (multiplicity 2)

Results
Uncorrected formation energy: 0.864 eV/atom

***

Record 7
The following is a DFT calculation (meta-GGA SCAN) of a crystal of BaCuAsN2 relaxed with PBEsol.

abc: 4.269 4.269 4.496
angles: 90.00 90.00 90.00
Space group P4/mmm (No. 123)
One atom of each set of equivalent atoms:
Ba1 0.000 0.000 0.000 (multiplicity 1)
Cu1 0.500 0.500 0.500 (multiplicity 1)
As1 0.500 0.500 0.000 (multiplicity 1)
N1 0.000 0.500 0.500 (multiplicity 2)

Results
Uncorrected formation energy: 0.881 eV/atom

***

Record 8
The following is a DFT calculation (meta-GGA SCAN) of a crystal of Mg2ScAgPt relaxed with PBEsol.

abc: 4.780 4.780 5.025
angles: 90.00 90.00 90.00
Space group P4/mmm (No. 123)
One atom of each set of equivalent atoms:
Mg1 0.000 0.500 0.000 (multiplicity 2)
Sc1 0.000 0.000 0.500 (multiplicity 1)
Ag1 0.000 0.000 0.000 (multiplicity 1)
Pt1 0.500 0.500 0.500 (multiplicity 1)

Results
Energy of formation: 270 meV per atom

***

Repeat the second record exactly.
The following is a DFT calculation (meta-GGA SCAN) of a crystal of TaCd2Os relaxed with PBEsol.

abc: 2.839 4.504 5.395
angles: 90.00 90.00 90.00
Space group Pmmm (No. 47)
One atom of each set of equivalent atoms:
Ta1 0.000 0.000 0.000 (multiplicity 1)
Cd1 0.500 0.500 0.254 (multiplicity 2)
Os1 0.000 0.000 0.500 (multiplicity 1)

Results
Energy relative to the lowest polymorph listed for this composition: 0.415 eV/atom
Energy of formation: 473 meV per atom